Below is a relaxed structure of Na2YVF8, with properties calculated at the PBE+U level.

energy = -5.8714 eV per atom

Cell: 5.1219 6.7686 5.1439 Å, 90.00 91.37 90.00°
Closest atoms and distances in Å follow each position.
Space group P2/m (No. 10)
Unique sites:
Na  0.0000  0.2390  0.0000 (multiplicity 2)  6 F 2.28-2.36
Y  0.5000  0.5000  0.5000 (multiplicity 1)  6 F 2.14-2.25
V  0.5000  0.0000  0.5000 (multiplicity 1)  6 F 1.92-2.04
F  0.2012  0.5000  0.2024 (multiplicity 2)  1 Y 2.14, 2 Na 2.28
F  0.2318  0.0000  0.2319 (multiplicity 2)  1 V 1.92
F  0.3205  0.2295  0.6786 (multiplicity 4)  1 V 2.04, 1 Y 2.25